(1)
Compound: SiNi
Source: Alexandria via LeMat-Bulk
Functional: GGA-PBE
Structure: relaxed

The structure in POSCAR format:
```
SiNi
1.0
-7.2645 0.7167 -2.7745
-1.5493 -7.3430 2.1598
-1.3338 1.4163 3.8584
Si Ni
8 8
Cartesian
-3.6529 0.1551 1.0999
-2.4383 -3.7127 2.9396
-7.7094 -1.4973 0.3041
-4.1849 -6.2353 0.8421
-1.4210 -2.7601 0.5219
-6.4948 -5.3651 2.1437
-7.3929 -3.8662 -1.1366
-4.6290 -0.3909 -1.4567
-6.4494 -1.7596 -1.5837
-2.4724 -1.5096 2.1191
-7.6753 -3.7003 1.1246
-2.6014 -1.0954 -0.4972
-5.8890 -0.1287 0.4311
-2.3644 -4.8667 0.9690
-4.2588 -5.0813 2.8126
-6.2125 -5.5309 -0.1174
```

Calculated values
Formation energy (no corrections): -24 kJ per mole of atoms
Symmetry: No. 140
VASP energy: -5.85 eV/atom

---

(2)
Compound: Tb2CuNi3As4
Source: Alexandria via LeMat-Bulk
Functional: GGA-PBE
Structure: relaxed

The structure in POSCAR format:
```
Tb2CuNi3As4
1.0
4.1587 0.0000 0.0000
0.0000 4.1587 0.0000
0.0000 0.0000 9.5702
As Cu Tb Ni
4 1 2 3
Cartesian
0.0000 2.0794 3.4883
0.0000 0.0000 0.0000
2.0794 0.0000 6.0819
2.0794 2.0794 0.0000
2.0794 2.0794 4.7851
0.0000 2.0794 7.1801
2.0794 0.0000 2.3901
0.0000 0.0000 4.7851
0.0000 2.0794 1.1542
2.0794 0.0000 8.4159
```

Calculated values
Energy of formation: -0.75 eV per atom
Symmetry: No. 115
VASP energy: -5.68 eV/atom

---

(3)
Compound: Pm8HoMg6
Source: Alexandria via LeMat-Bulk
Functional: GGA-PBE
Structure: relaxed

The structure in POSCAR format:
```
Pm8HoMg6
1.0
9.2393 0.0000 0.0000
4.6196 8.0015 0.0000
4.6197 2.6672 6.5977
Mg Pm Ho
6 8 1
Cartesian
6.1513 5.3450 0.9219
12.3273 5.3236 5.6759
7.7045 8.0140 5.6759
10.7926 8.0033 0.9219
10.7741 2.6547 0.9219
7.6860 2.6653 5.6759
4.6196 2.6672 0.0006
6.1509 5.3110 4.2668
7.6749 7.9973 2.3309
13.8590 8.0015 6.5971
7.7153 2.6480 2.3309
12.3277 5.3577 2.3309
10.8037 2.6714 4.2668
10.7633 8.0206 4.2668
0.0000 0.0000 0.0000
```

Calculated values
Energy of formation: 0.16 eV per atom
Symmetry: No. 148
VASP energy: -3.32 eV/atom

---

Repeat the second record exactly.
Compound: Tb2CuNi3As4
Source: Alexandria via LeMat-Bulk
Functional: GGA-PBE
Structure: relaxed

The structure in POSCAR format:
```
Tb2CuNi3As4
1.0
4.1587 0.0000 0.0000
0.0000 4.1587 0.0000
0.0000 0.0000 9.5702
As Cu Tb Ni
4 1 2 3
Cartesian
0.0000 2.0794 3.4883
0.0000 0.0000 0.0000
2.0794 0.0000 6.0819
2.0794 2.0794 0.0000
2.0794 2.0794 4.7851
0.0000 2.0794 7.1801
2.0794 0.0000 2.3901
0.0000 0.0000 4.7851
0.0000 2.0794 1.1542
2.0794 0.0000 8.4159
```

Calculated values
Energy of formation: -0.75 eV per atom
Symmetry: No. 115
VASP energy: -5.68 eV/atom